(1)
Computed, not measured: SrHg2Mo at its PBEsol-relaxed geometry at the meta-GGA SCAN level of DFT.

Cell: 3.536 3.536 7.231 Å, 90.00 90.00 90.00°
Fractional coordinates of all 4 atoms:
Mo: 0.500 0.500 0.000
Sr: 0.500 0.500 0.500
Hg: 0.000 0.000 0.796
Hg: 0.000 0.000 0.204

Summary:
Symmetry = P4/mmm (123)

=====

(2)
Computed, not measured: Sr4HgMo at its PBEsol-relaxed geometry at the meta-GGA SCAN level of DFT.

Cell: 6.742 6.742 6.742 Å, 60.00 60.00 60.00°
Fractional coordinates of all 6 atoms:
Sr: 0.876 0.375 0.375
Sr: 0.375 0.375 0.375
Sr: 0.375 0.375 0.876
Hg: 0.750 0.750 0.750
Sr: 0.375 0.876 0.375
Mo: 0.000 0.000 0.000

Summary:
Symmetry = F-43m (216)

=====

(3)
Computed, not measured: TaHg2Mo at its PBEsol-relaxed geometry at the meta-GGA SCAN level of DFT.

Cell: 4.092 4.092 5.136 Å, 113.48 113.48 90.00°
Fractional coordinates of all 4 atoms:
Hg: 0.750 0.250 0.500
Hg: 0.000 0.000 0.000
Ta: 0.250 0.750 0.500
Mo: 0.500 0.500 0.000

Summary:
Symmetry = I-4m2 (119)

=====

(4)
Computed, not measured: TaHg4Mo at its PBEsol-relaxed geometry at the meta-GGA SCAN level of DFT.

Cell: 5.455 5.455 5.455 Å, 60.00 60.00 60.00°
Fractional coordinates of all 6 atoms:
Hg: 0.375 0.375 0.375
Mo: 0.750 0.750 0.750
Ta: 0.000 0.000 0.000
Hg: 0.375 0.875 0.375
Hg: 0.375 0.375 0.875
Hg: 0.875 0.375 0.375

Summary:
Symmetry = F-43m (216)

=====

(5)
Computed, not measured: TaHg2Mo at its PBEsol-relaxed geometry at the meta-GGA SCAN level of DFT.

Cell: 2.842 2.842 8.761 Å, 90.00 90.00 90.00°
Fractional coordinates of all 4 atoms:
Hg: 0.000 0.000 0.754
Hg: 0.000 0.000 0.246
Ta: 0.500 0.500 0.500
Mo: 0.500 0.500 0.000

Summary:
Symmetry = P4/mmm (123)

=====

(6)
Computed, not measured: TaHg2Mo at its PBEsol-relaxed geometry at the meta-GGA SCAN level of DFT.

Cell: 4.003 4.003 5.237 Å, 112.47 112.47 90.00°
Fractional coordinates of all 4 atoms:
Hg: 0.250 0.750 0.500
Mo: 0.500 0.500 0.000
Ta: 0.000 0.000 0.000
Hg: 0.750 0.250 0.500

Summary:
Symmetry = I4/mmm (139)

=====

no.,total DFT energy (no corrections) (eV/cell)
1,-192.6
2,-186.3
3,-235.8
4,-368.8
5,-236.1
6,-236.3